[1]
Here is crystalline CoPtRh2 at its relaxed geometry from the Alexandria database. Energies are from GGA-PBE.

## Properties
space-group type: No. 122
VASP energy: -26.13 eV/f.u.
theoretical density: 12.66 Mg/m³
DOS at the Fermi energy: 8.8 states/eV/cell

Unit cell a=6.8224 b=6.8224 c=5.4758 alpha=51.47 beta=51.47 gamma=90.00
Closest atoms and distances in Å follow each position.
Element x y z (fractional)
Co (0.5000, 0.5000, 0.0000)  4 Rh 2.33, 2 Pt 2.59
Co (0.2500, 0.7500, 0.5000)  4 Rh 2.33, 2 Pt 2.59
Rh (0.5876, 0.1250, 0.2500)  2 Co 2.33
Rh (0.1624, 0.6250, 0.2500)  2 Co 2.33
Rh (0.3750, 0.4124, 0.7500)  2 Co 2.33
Rh (0.8750, 0.8376, 0.7500)  2 Co 2.33
Pt (0.0000, 0.0000, 0.0000)  2 Co 2.59, 4 Rh 2.68
Pt (0.7500, 0.2500, 0.5000)  2 Co 2.59, 4 Rh 2.68

***

[2]
Here is crystalline LaH9S2O12 at its relaxed geometry from the Alexandria database. Energies are from GGA-PBE.

## Properties
space-group type: No. 14
VASP energy: -138.26 eV/f.u.
theoretical density: 2.68 Mg/m³
DOS at the Fermi energy: 0.0 states/eV/cell

Unit cell a=6.9381 b=11.3421 c=13.6696 alpha=68.61 beta=90.00 gamma=90.00
Closest atoms and distances in Å follow each position.
Element x y z (fractional)
La (0.2727, 0.8560, 0.9023)  8 O 2.41-2.68
La (0.2273, 0.8560, 0.4023)  8 O 2.41-2.68
La (0.7727, 0.1440, 0.5977)  8 O 2.41-2.68
La (0.7273, 0.1440, 0.0977)  8 O 2.41-2.68
H (0.9083, 0.8515, 0.7096)  1 O 0.99
H (0.8397, 0.8740, 0.5941)  1 O 0.99
H (0.5904, 0.8116, 0.7442)  1 O 0.99
H (0.5846, 0.6862, 0.8436)  1 O 0.99
H (0.9731, 0.6566, 0.8531)  1 O 0.99
H (0.1394, 0.6865, 0.7686)  1 O 0.99
H (0.5917, 0.8515, 0.2096)  1 O 0.99
H (0.6603, 0.8740, 0.0941)  1 O 0.99
H (0.9096, 0.8116, 0.2442)  1 O 0.99
H (0.6177, 0.6405, 0.5907)  1 O 1.03
H (0.8676, 0.6308, 0.5865)  1 O 1.02
H (0.7420, 0.5473, 0.6982)  1 O 1.04
H (0.9154, 0.6862, 0.3436)  1 O 0.99
H (0.5269, 0.6566, 0.3531)  1 O 0.99
H (0.3606, 0.6865, 0.2686)  1 O 0.99
H (0.2420, 0.4527, 0.8018)  1 O 1.04
H (0.3676, 0.3692, 0.9135)  1 O 1.02
H (0.1177, 0.3595, 0.9093)  1 O 1.03
H (0.8823, 0.6405, 0.0907)  1 O 1.03
H (0.6324, 0.6308, 0.0865)  1 O 1.02
H (0.7580, 0.5473, 0.1982)  1 O 1.04
H (0.6394, 0.3135, 0.7314)  1 O 0.99
H (0.4731, 0.3434, 0.6469)  1 O 0.99
H (0.0846, 0.3138, 0.6564)  1 O 0.99
H (0.2580, 0.4527, 0.3018)  1 O 1.04
H (0.1324, 0.3692, 0.4135)  1 O 1.02
H (0.3823, 0.3595, 0.4093)  1 O 1.03
H (0.0904, 0.1884, 0.7558)  1 O 0.99
H (0.3397, 0.1260, 0.9059)  1 O 0.99
H (0.4083, 0.1485, 0.7904)  1 O 0.99
H (0.8606, 0.3135, 0.2314)  1 O 0.99
H (0.0269, 0.3434, 0.1469)  1 O 0.99
H (0.4154, 0.3138, 0.1564)  1 O 0.99
H (0.4096, 0.1884, 0.2558)  1 O 0.99
H (0.1603, 0.1260, 0.4059)  1 O 0.99
H (0.0917, 0.1485, 0.2904)  1 O 0.99
S (0.7552, 0.9854, 0.8968)  4 O 1.48-1.50
S (0.7448, 0.9854, 0.3968)  4 O 1.48-1.50
S (0.2442, 0.5743, 0.5989)  4 O 1.47-1.51
S (0.7442, 0.4257, 0.9011)  4 O 1.47-1.51
S (0.2558, 0.5743, 0.0989)  4 O 1.47-1.51
S (0.7558, 0.4257, 0.4011)  4 O 1.47-1.51
S (0.2552, 0.0146, 0.6032)  4 O 1.48-1.50
S (0.2448, 0.0146, 0.1032)  4 O 1.48-1.50
O (0.9457, 0.9229, 0.9108)  1 S 1.48
O (0.6096, 0.8901, 0.9602)  1 S 1.50
O (0.1980, 0.9714, 0.7155)  1 S 1.48
O (0.8080, 0.8944, 0.6571)  2 H 0.99
O (0.2591, 0.9063, 0.5673)  1 S 1.48
O (0.5071, 0.7610, 0.8032)  2 H 0.99
O (0.5543, 0.9229, 0.4108)  1 S 1.48
O (0.8904, 0.8901, 0.4602)  1 S 1.50
O (0.0673, 0.7223, 0.8136)  2 H 0.99
O (0.3020, 0.9714, 0.2155)  1 S 1.48
O (0.6920, 0.8944, 0.1571)  2 H 0.99
O (0.7660, 0.5548, 0.9012)  1 S 1.47
O (0.2409, 0.9063, 0.0673)  1 S 1.48
O (0.7468, 0.6284, 0.6303)  3 H 1.02-1.04
O (0.4115, 0.6571, 0.5459)  1 S 1.50, 1 H 1.54
O (0.9929, 0.7610, 0.3032)  2 H 0.99
O (0.0725, 0.6406, 0.5350)  1 S 1.51, 1 H 1.57
O (0.2227, 0.5705, 0.7089)  1 H 1.48, 1 S 1.50
O (0.4327, 0.7223, 0.3136)  2 H 0.99
O (0.7227, 0.4295, 0.7911)  1 H 1.48, 1 S 1.50
O (0.5725, 0.3594, 0.9650)  1 S 1.51, 1 H 1.57
O (0.9115, 0.3429, 0.9541)  1 S 1.50, 1 H 1.54
O (0.2468, 0.3716, 0.8697)  3 H 1.02-1.04
O (0.7340, 0.5548, 0.4012)  1 S 1.47
O (0.2660, 0.4452, 0.5988)  1 S 1.47
O (0.7532, 0.6284, 0.1303)  3 H 1.02-1.04
O (0.0885, 0.6571, 0.0459)  1 S 1.50, 1 H 1.54
O (0.4275, 0.6406, 0.0350)  1 S 1.51, 1 H 1.57
O (0.2773, 0.5705, 0.2089)  1 H 1.48, 1 S 1.50
O (0.5673, 0.2777, 0.6864)  2 H 0.99
O (0.7773, 0.4295, 0.2911)  1 H 1.48, 1 S 1.50
O (0.9275, 0.3594, 0.4650)  1 S 1.51, 1 H 1.57
O (0.0071, 0.2390, 0.6968)  2 H 0.99
O (0.5885, 0.3429, 0.4541)  1 S 1.50, 1 H 1.54
O (0.2532, 0.3716, 0.3697)  3 H 1.02-1.04
O (0.7591, 0.0937, 0.9327)  1 S 1.48
O (0.2340, 0.4452, 0.0988)  1 S 1.47
O (0.3080, 0.1056, 0.8429)  2 H 0.99
O (0.6980, 0.0286, 0.7845)  1 S 1.48
O (0.9327, 0.2777, 0.1864)  2 H 0.99
O (0.1096, 0.1099, 0.5398)  1 S 1.50
O (0.4457, 0.0771, 0.5892)  1 S 1.48
O (0.4929, 0.2390, 0.1968)  2 H 0.99
O (0.7409, 0.0937, 0.4327)  1 S 1.48
O (0.1920, 0.1056, 0.3429)  2 H 0.99
O (0.8020, 0.0286, 0.2845)  1 S 1.48
O (0.3904, 0.1099, 0.0398)  1 S 1.50
O (0.0543, 0.0771, 0.0892)  1 S 1.48

***

[3]
Here is crystalline BaSr2Ag at its relaxed geometry from the Alexandria database. Energies are from GGA-PBE.

## Properties
space-group type: No. 12
relative energy among the computed polymorphs: 0.269 eV/atom
theoretical density: 3.92 Mg/m³
DOS at the Fermi energy: 4.1 states/eV/cell

Unit cell a=7.4668 b=7.4668 c=4.0727 alpha=77.00 beta=77.00 gamma=118.88
Closest atoms and distances in Å follow each position.
Element x y z (fractional)
Ag (0.5000, 0.0000, 0.5000)  4 Ba 3.80-4.16, 4 Sr 3.83, 2 Ag 4.07
Ba (0.0000, 0.5000, 0.5000)  4 Ag 3.80-4.16, 4 Sr 3.83, 2 Ba 4.07
Sr (0.0000, 0.0000, 0.0000)  6 Sr 3.80-4.16, 2 Ba 3.83, 2 Ag 3.83
Sr (0.5000, 0.5000, 0.0000)  6 Sr 3.80-4.16, 2 Ag 3.83, 2 Ba 3.83

***

[4]
Here is crystalline TlSbSeN2 at its relaxed geometry from the Alexandria database. Energies are from GGA-PBE.

## Properties
formation energy (no corrections): 1.02 eV per atom
space-group type: No. 123
relative energy among the computed polymorphs: 0.000 eV/atom
theoretical density: 7.36 Mg/m³
DOS at the Fermi energy: 2.5 states/eV/cell

Unit cell a=4.1144 b=4.1144 c=5.7733 alpha=90.00 beta=90.00 gamma=90.00
Closest atoms and distances in Å follow each position.
Element x y z (fractional)
Sb (0.0000, 0.0000, 0.0000)  4 N 2.06
Tl (0.5000, 0.5000, 0.5000)  4 Se 2.91
Se (0.0000, 0.0000, 0.5000)  2 Sb 2.89, 4 Tl 2.91
N (0.0000, 0.5000, 0.0000)  2 Sb 2.06
N (0.5000, 0.0000, 0.0000)  2 Sb 2.06

***

[5]
Here is crystalline Tl6TeBr2Cl2 at its relaxed geometry from the Alexandria database. Energies are from GGA-PBE.

## Properties
formation energy (no corrections): -0.73 eV per atom
space-group type: No. 12
theoretical density: 6.35 Mg/m³
DOS at the Fermi energy: 0.0 states/eV/cell

Unit cell a=8.3139 b=8.3139 c=8.2493 alpha=100.09 beta=100.09 gamma=127.64
Closest atoms and distances in Å follow each position.
Element x y z (fractional)
Tl (0.7254, 0.7254, 0.7196)  1 Te 3.20, 2 Br 3.21, 2 Cl 3.51
Tl (0.1075, 0.4362, 0.7526)  2 Cl 3.05-3.19, 1 Te 3.32, 1 Br 3.39
Tl (0.2746, 0.2746, 0.2804)  1 Te 3.20, 2 Br 3.21, 2 Cl 3.51
Tl (0.4362, 0.1075, 0.7526)  2 Cl 3.05-3.19, 1 Te 3.32, 1 Br 3.39
Tl (0.8925, 0.5638, 0.2474)  2 Cl 3.05-3.19, 1 Te 3.32, 1 Br 3.39
Tl (0.5638, 0.8925, 0.2474)  2 Cl 3.05-3.19, 1 Te 3.32, 1 Br 3.39
Te (0.0000, 0.0000, 0.5000)  6 Tl 3.20-3.32
Br (0.8567, 0.1433, 0.0000)  6 Tl 3.21-3.53
Br (0.1433, 0.8567, 0.0000)  6 Tl 3.21-3.53
Cl (0.3029, 0.6971, 0.5000)  4 Tl 3.05-3.19
Cl (0.6971, 0.3029, 0.5000)  4 Tl 3.05-3.19

***

[6]
Here is crystalline BeZn4Pb at its relaxed geometry from the Alexandria database. Energies are from GGA-PBE.

## Properties
space-group type: No. 216
VASP energy: -10.34 eV/f.u.
theoretical density: 7.54 Mg/m³
DOS at the Fermi energy: 3.2 states/eV/cell

Unit cell a=5.2986 b=5.2986 c=5.2986 alpha=60.00 beta=60.00 gamma=60.00
Closest atoms and distances in Å follow each position.
Element x y z (fractional)
Be (0.7500, 0.7500, 0.7500)  12 Zn 3.10, 4 Pb 3.24
Zn (0.8715, 0.3762, 0.3762)  6 Zn 2.62-2.67
Zn (0.3762, 0.3762, 0.8715)  6 Zn 2.62-2.67
Zn (0.3762, 0.8715, 0.3762)  6 Zn 2.62-2.67
Zn (0.3762, 0.3762, 0.3762)  6 Zn 2.62-2.67
Pb (0.0000, 0.0000, 0.0000)  12 Zn 3.11, 4 Be 3.24

***

[7]
Here is crystalline CeDy2C2 at its relaxed geometry from the Alexandria database. Energies are from GGA-PBE.

## Properties
space-group type: No. 166
relative energy among the computed polymorphs: 0.000 eV/atom
theoretical density: 7.60 Mg/m³
DOS at the Fermi energy: 3.8 states/eV/cell

Unit cell a=3.6152 b=3.6152 c=9.6664 alpha=79.22 beta=79.22 gamma=60.00
Closest atoms and distances in Å follow each position.
Element x y z (fractional)
Ce (0.0000, 0.0000, 0.0000)  6 C 2.64
Dy (0.2326, 0.2326, 0.3021)  3 C 2.42
Dy (0.7674, 0.7674, 0.6979)  3 C 2.42
C (0.6095, 0.6095, 0.1714)  3 Dy 2.42, 3 Ce 2.64
C (0.3905, 0.3905, 0.8286)  3 Dy 2.42, 3 Ce 2.64

***

[8]
Here is crystalline BaTlSN2 at its relaxed geometry from the Alexandria database. Energies are from GGA-PBE.

## Properties
formation energy (no corrections): 0.67 eV per atom
space-group type: No. 123
relative energy among the computed polymorphs: 0.000 eV/atom
theoretical density: 5.88 Mg/m³
DOS at the Fermi energy: 1.8 states/eV/cell

Unit cell a=4.5733 b=4.5733 c=5.4276 alpha=90.00 beta=90.00 gamma=90.00
Closest atoms and distances in Å follow each position.
Element x y z (fractional)
S (0.0000, 0.0000, 0.5000)  2 Tl 2.71
Tl (0.0000, 0.0000, 0.0000)  4 N 2.29
Ba (0.5000, 0.5000, 0.5000)  4 S 3.23, 8 N 3.55
N (0.0000, 0.5000, 0.0000)  2 Tl 2.29
N (0.5000, 0.0000, 0.0000)  2 Tl 2.29